Record 1
HgP2Cl (GGA-PBE, optimized geometry); E above lowest polymorph = 0.5649 eV per atom; density of states at the Fermi level = 2.5 states/eV/f.u.; SG = P4/mmm, No. 123; calculated total energy = -2.76 eV/atom; formation energy from raw total energies = 477 meV/atom; total magnetization = 0.1 μB/f.u.
1.0
-5.7165 3.9025 1.7931
0.7519 -0.5131 3.5136
2.0464 2.9977 -0.0002
Cl Hg P
1 1 2
Direct
0.5000 0.5000 0.0000
0.5000 0.0000 0.5000
0.0000 0.0000 0.0000
0.0000 0.5000 0.5000

Record 2
HgPCl2 (GGA-PBE, optimized geometry); E above lowest polymorph = 0.4896 eV per atom; density of states at the Fermi level = 3.5 states/eV/f.u.; SG = R-3m, No. 166; calculated total energy = -2.06 eV/atom; formation energy from raw total energies = 287 meV/atom; total magnetization = 0.0 μB/f.u.
1.0
9.9118 0.0344 0.0203
9.3515 3.2856 0.0203
9.3515 1.6117 2.8632
Cl Hg P
2 1 1
Direct
0.9811 0.9811 0.9811
0.5189 0.5189 0.5189
0.7500 0.7500 0.7500
0.2500 0.2500 0.2500

Record 3
HgP2Cl (GGA-PBE, optimized geometry); E above lowest polymorph = 0.0764 eV per atom; density of states at the Fermi level = 0.6 states/eV/f.u.; SG = P4mm, No. 99; calculated total energy = -3.25 eV/atom; formation energy from raw total energies = -11 meV/atom; total magnetization = 0.0 μB/f.u.
1.0
3.2412 0.0000 0.0000
0.0000 3.2412 0.0000
0.0000 0.0000 9.6149
Cl Hg P
1 1 2
Direct
0.0000 0.0000 0.4139
0.5000 0.5000 0.7558
0.0000 0.0000 0.1993
0.5000 0.5000 0.1310

Record 4
HgP2Cl (GGA-PBE, optimized geometry); E above lowest polymorph = 0.2062 eV per atom; density of states at the Fermi level = 1.2 states/eV/f.u.; SG = Imm2, No. 44; calculated total energy = -3.12 eV/atom; formation energy from raw total energies = 118 meV/atom; total magnetization = 0.0 μB/f.u.
1.0
8.3847 0.0905 -0.0133
6.8319 4.8619 0.0133
-7.4770 -2.8797 2.4727
Cl Hg P
1 1 2
Direct
0.5887 0.5887 0.0000
0.2006 0.7006 0.5000
0.8999 0.8999 0.0000
0.8107 0.3107 0.5000

Record 5
HgPCl2 (GGA-PBE, optimized geometry); E above lowest polymorph = 0.2409 eV per atom; density of states at the Fermi level = 3.0 states/eV/f.u.; SG = I4_1/amd, No. 141; calculated total energy = -2.31 eV/atom; formation energy from raw total energies = 39 meV/atom; total magnetization = 0.0 μB/f.u.
1.0
-6.7286 -1.0570 -3.4108
0.4409 -7.4663 1.4438
-5.7037 -3.4829 3.8251
P Hg Cl
2 2 4
Direct
0.5000 0.5000 0.0000
0.2500 0.7500 0.5000
0.0000 0.0000 0.0000
0.7500 0.2500 0.5000
0.3750 0.1250 0.2500
0.3750 0.6250 0.2500
0.3750 0.6250 0.7500
0.8750 0.6250 0.7500

Record 6
HgPCl6 (GGA-PBE, optimized geometry); density of states at the Fermi level = 2.9 states/eV/f.u.; SG = R-3, No. 148; calculated total energy = -2.49 eV/atom; formation energy from raw total energies = -389 meV/atom; total magnetization = 0.0 μB/f.u.
1.0
-6.3278 0.2355 1.1842
-2.1921 -0.9040 5.9911
-2.4416 5.4157 3.3865
Hg P Cl
1 1 6
Direct
0.5000 0.5000 0.5000
0.0000 0.0000 0.0000
0.0857 0.3593 0.7725
0.7822 0.0856 0.7725
0.6406 0.2178 0.2273
0.2178 0.9144 0.2275
0.9143 0.6407 0.2275
0.3594 0.7822 0.7727

Record 7
HgPCl2 (GGA-PBE, optimized geometry); E above lowest polymorph = 0.7484 eV per atom; density of states at the Fermi level = 2.7 states/eV/f.u.; SG = F-43m, No. 216; calculated total energy = -1.80 eV/atom; formation energy from raw total energies = 546 meV/atom; total magnetization = 1.0 μB/f.u.
1.0
4.9092 0.0000 0.0000
2.4546 4.2515 0.0000
2.4546 1.4172 4.0083
Cl Hg P
2 1 1
Direct
0.0000 0.0000 0.0000
0.2500 0.2500 0.2500
0.5000 0.5000 0.5000
0.7500 0.7500 0.7500

Record 8
HgP2Cl (GGA-PBE, optimized geometry); E above lowest polymorph = 0.2822 eV per atom; density of states at the Fermi level = 2.2 states/eV/f.u.; SG = Cmm2, No. 35; calculated total energy = -3.05 eV/atom; formation energy from raw total energies = 194 meV/atom; total magnetization = 0.0 μB/f.u.
1.0
-1.2725 4.3561 0.0382
-2.0524 -4.0450 0.1477
0.4974 0.0683 8.7808
Cl Hg P
1 1 2
Direct
0.0000 0.0000 0.5319
0.5000 0.5000 0.7614
0.0000 0.0000 0.0261
0.5000 0.5000 0.1807

> What is the calculated total energy in the first record?

-2.76 eV/atom

> Which formula does entry 2 have?

HgPCl2